# 1
12
Lattice="-3.505 0.148 -1.699 -1.629 -1.442 3.234 -1.508 10.791 4.053" Properties=species:S:1:pos:R:3 comment="FeCu2Pd9 (GGA-PBE, optimized geometry)" formation_enthalpy_0k_mev_per_atom=-70 magmom_total_mub_per_fu=4.1 pbc="T T T"
Pd -3.068 2.942 2.115
Pd -2.001 1.856 -0.180
Pd -2.073 8.288 5.001
Pd -2.506 5.469 1.177
Pd -1.568 4.674 3.643
Pd -3.573 6.555 3.473
Pd -2.567 -0.647 0.768
Pd -1.063 1.060 2.286
Pd -3.011 9.083 2.534
Cu -1.004 7.185 2.698
Cu -0.504 3.606 1.354
Fe 0.000 0.000 0.000

# 2
6
Lattice="-0.672 -1.759 -2.009 2.268 -1.470 0.528 -5.629 -6.094 7.219" Properties=species:S:1:pos:R:3 comment="Fe2CuPd3 (GGA-PBE, optimized geometry)" formation_enthalpy_0k_mev_per_atom=-79 magmom_total_mub_per_fu=6.8 pbc="T T T"
Fe -0.152 -2.643 0.478
Fe -3.881 -6.679 5.259
Pd 0.000 0.000 0.000
Pd -3.752 -4.062 4.812
Pd -1.877 -2.032 2.407
Cu -2.016 -4.661 2.869

# 3
20
Lattice="3.945 0.000 0.000 0.000 8.821 0.000 0.000 0.000 8.821" Properties=species:S:1:pos:R:3 comment="Fe2CuPd5Pt2 (GGA-PBE, optimized geometry)" formation_enthalpy_0k_mev_per_atom=36 magmom_total_mub_per_fu=9.0 pbc="T T T"
Pd 1.972 4.411 0.000
Pd 1.972 2.702 5.181
Pd 1.972 7.113 8.051
Pd 1.972 1.709 0.770
Pd 1.972 0.770 7.113
Pd 1.972 6.119 3.640
Pd 1.972 8.051 1.709
Pd 1.972 0.000 4.411
Pd 1.972 3.640 2.702
Pd 1.972 5.181 6.119
Pt 0.000 5.859 1.448
Pt 0.000 1.448 2.962
Pt 0.000 7.373 5.859
Pt 0.000 2.962 7.373
Fe 0.000 5.564 7.668
Fe 0.000 3.258 1.153
Fe 0.000 7.668 3.258
Fe 0.000 1.153 5.564
Cu 0.000 4.411 4.411
Cu 0.000 0.000 0.000

# 4
18
Lattice="-2.213 -4.186 -4.170 5.727 -2.614 -0.416 -3.368 -0.962 7.527" Properties=species:S:1:pos:R:3 comment="Fe2CuPdPt5 (GGA-PBE, optimized geometry)" formation_enthalpy_0k_mev_per_atom=175 magmom_total_mub_per_fu=7.6 pbc="T T T"
Pt 0.079 -2.913 0.039
Pt 2.595 -6.163 -1.895
Pt 1.757 -3.400 -2.293
Pt -3.008 -3.942 2.712
Pt -2.449 -1.600 4.836
Pt 0.000 0.000 0.000
Pt -0.480 -5.255 -2.085
Pt 0.626 -2.507 5.027
Pt 0.067 -4.850 2.902
Pt 3.154 -3.820 0.230
Cu 2.058 -3.488 2.409
Cu -1.912 -4.274 0.532
Fe -0.681 -2.916 -2.640
Fe 4.196 -3.884 -1.946
Fe 1.903 -1.497 -0.662
Fe 1.611 -5.303 -3.923
Pd -0.806 -2.181 2.617
Pd 0.952 -5.581 0.324